PBE EuGaRh, optimized geometry; total moment = 7.08 μB/cell; DFT formation energy = -625 meV per atom; space group = P-6m2; density = 8.02 g cm⁻³; E_tot = -7.510 eV per atom
1.0
4.230 0.000 0.000
0.000 4.284 0.000
0.000 -2.142 3.710
Eu Rh Ga
1 1 1
Direct
0.667 0.333 0.667 Eu
0.167 0.000 0.000 Rh
0.167 0.667 0.333 Ga